No. 1
# ErTlSn2, relaxed, DFT GGA-PBE
data_ErTlSn2
_chemical_formula_sum 'Er1 Tl1 Sn2'
_space_group_name_H-M_alt 'P 4/m m m'
_space_group_IT_number 123
_space_group_name_Hall '-P 4 2'
_cell_length_a 4.666
_cell_length_b 4.666
_cell_length_c 4.824
_cell_angle_alpha 90.00
_cell_angle_beta 90.00
_cell_angle_gamma 90.00
loop_
_atom_site_label
_atom_site_type_symbol
_atom_site_fract_x
_atom_site_fract_y
_atom_site_fract_z
Er1 Er 0.000 0.000 0.000
Tl1 Tl 0.500 0.500 0.000
Sn1 Sn 0.000 0.500 0.500
# V   105 Å³ per cell
# Formation energy from the elements   -0.33 eV/atom
# Total energy   -0.2990 Ry per atom
# Distance to the lowest polymorph of the same formula   0 meV/atom
# Magnetic moment   0.00 Bohr magnetons per cell


No. 2
# SmDy2ThSc4, relaxed, DFT GGA-PBE
data_SmDy2ThSc4
_chemical_formula_sum 'Sm1 Dy2 Th1 Sc4'
_space_group_name_H-M_alt 'P 4/m m m'
_space_group_IT_number 123
_space_group_name_Hall '-P 4 2'
_cell_length_a 4.983
_cell_length_b 4.983
_cell_length_c 9.067
_cell_angle_alpha 90.00
_cell_angle_beta 90.00
_cell_angle_gamma 90.00
loop_
_atom_site_label
_atom_site_type_symbol
_atom_site_fract_x
_atom_site_fract_y
_atom_site_fract_z
Sm1 Sm 0.000 0.000 0.000
Dy1 Dy 0.000 0.000 0.500
Dy2 Dy 0.500 0.500 0.000
Th1 Th 0.500 0.500 0.500
Sc1 Sc 0.000 0.500 0.253
# V   225 Å³ per cell
# Formation energy from the elements   0.04 eV/atom
# Total energy   -0.4258 Ry per atom
# Magnetic moment   0.00 Bohr magnetons per cell


No. 3
# Dy2TmCuTe5, relaxed, DFT GGA-PBE
data_Dy2TmCuTe5
_chemical_formula_sum 'Dy8 Tm4 Cu4 Te20'
_space_group_name_H-M_alt 'C m c 21'
_space_group_IT_number 36
_space_group_name_Hall 'C 2c -2'
_cell_length_a 4.219
_cell_length_b 18.691
_cell_length_c 12.879
_cell_angle_alpha 90.00
_cell_angle_beta 90.00
_cell_angle_gamma 90.00
loop_
_atom_site_label
_atom_site_type_symbol
_atom_site_fract_x
_atom_site_fract_y
_atom_site_fract_z
Dy1 Dy 0.000 0.109 0.000
Dy2 Dy 0.000 0.125 0.619
Tm1 Tm 0.000 0.189 0.325
Cu1 Cu 0.000 0.429 0.776
Te1 Te 0.000 0.040 0.384
Te2 Te 0.000 0.286 0.988
Te3 Te 0.000 0.313 0.656
Te4 Te 0.000 0.354 0.314
Te5 Te 0.000 0.499 0.103
# V   1016 Å³ per cell
# Total energy   -0.3552 Ry per atom
# Magnetic moment   0.00 Bohr magnetons per cell
# Formation energy from raw total energies   -1.113 eV per atom


No. 4
# NaCr3Hg, relaxed, DFT GGA-PBE
data_NaCr3Hg
_chemical_formula_sum 'Na1 Cr3 Hg1'
_space_group_name_H-M_alt 'P m -3 m'
_space_group_IT_number 221
_space_group_name_Hall '-P 4 2 3'
_cell_length_a 5.016
_cell_length_b 5.016
_cell_length_c 5.016
_cell_angle_alpha 90.00
_cell_angle_beta 90.00
_cell_angle_gamma 90.00
loop_
_atom_site_label
_atom_site_type_symbol
_atom_site_fract_x
_atom_site_fract_y
_atom_site_fract_z
Na1 Na 0.000 0.000 0.000
Cr1 Cr 0.000 0.000 0.500
Hg1 Hg 0.500 0.500 0.500
# V   126 Å³ per cell
# Formation energy from the elements   1.79 eV/atom
# Total energy   -0.3168 Ry per atom
# Distance to the lowest polymorph of the same formula   498 meV/atom
# Magnetic moment   14.04 Bohr magnetons per cell


No. 5
# Zr2TlCdN, relaxed, DFT GGA-PBE
data_Zr2TlCdN
_chemical_formula_sum 'Zr2 Tl1 Cd1 N1'
_space_group_name_H-M_alt 'P 4/m m m'
_space_group_IT_number 123
_space_group_name_Hall '-P 4 2'
_cell_length_a 4.412
_cell_length_b 4.412
_cell_length_c 5.231
_cell_angle_alpha 90.00
_cell_angle_beta 90.00
_cell_angle_gamma 90.00
loop_
_atom_site_label
_atom_site_type_symbol
_atom_site_fract_x
_atom_site_fract_y
_atom_site_fract_z
Zr1 Zr 0.000 0.500 0.000
Tl1 Tl 0.000 0.000 0.500
Cd1 Cd 0.500 0.500 0.500
N1 N 0.000 0.000 0.000
# V   102 Å³ per cell
# Total energy   -0.4421 Ry per atom
# Magnetic moment   0.00 Bohr magnetons per cell
# Formation energy from raw total energies   -0.274 eV per atom


No. 6
# TaSiP2, relaxed, DFT GGA-PBE
data_TaSiP2
_chemical_formula_sum 'Ta1 Si1 P2'
_space_group_name_H-M_alt 'P 1 m 1'
_space_group_IT_number 6
_space_group_name_Hall 'P -2y'
_cell_length_a 3.355
_cell_length_b 4.368
_cell_length_c 4.643
_cell_angle_alpha 90.00
_cell_angle_beta 111.08
_cell_angle_gamma 90.00
loop_
_atom_site_label
_atom_site_type_symbol
_atom_site_fract_x
_atom_site_fract_y
_atom_site_fract_z
Ta1 Ta 0.000 0.000 0.000
Si1 Si 0.411 0.500 0.822
P1 P 0.140 0.500 0.280
P2 P 0.714 0.000 0.429
# V   64 Å³ per cell
# Total energy   -0.5304 Ry per atom
# Magnetic moment   0.00 Bohr magnetons per cell
# Formation energy from raw total energies   -0.193 eV per atom


No. 7
# Cs4Nd3HfS8, relaxed, DFT GGA-PBE
data_Cs4Nd3HfS8
_chemical_formula_sum 'Cs12 Nd9 Hf3 S24'
_space_group_name_H-M_alt 'R -3 m'
_space_group_IT_number 166
_space_group_name_Hall '-R 3 2"'
_cell_length_a 8.2578
_cell_length_b 8.2578
_cell_length_c 24.2749
_cell_angle_alpha 90.00
_cell_angle_beta 90.00
_cell_angle_gamma 120.00
loop_
_atom_site_label
_atom_site_type_symbol
_atom_site_fract_x
_atom_site_fract_y
_atom_site_fract_z
Cs1 Cs 0.0000 0.0000 0.0000
Cs2 Cs 0.0000 0.5000 0.0000
Nd1 Nd 0.0000 0.5000 0.5000
Hf1 Hf 0.0000 0.0000 0.5000
S1 S 0.0000 0.0000 0.2306
S2 S 0.0267 0.5134 0.2270
# V   1434 Å³ per cell
# Total energy   -0.4025 Ry per atom
# Magnetic moment   0.00 Bohr magnetons per cell
# Formation energy from raw total energies   -1.684 eV per atom


No. 8
# Mn2CoPC, relaxed, DFT GGA-PBE
data_Mn2CoPC
_chemical_formula_sum 'Mn2 Co1 P1 C1'
_space_group_name_H-M_alt 'P 4/m m m'
_space_group_IT_number 123
_space_group_name_Hall '-P 4 2'
_cell_length_a 4.438
_cell_length_b 4.438
_cell_length_c 3.488
_cell_angle_alpha 90.00
_cell_angle_beta 90.00
_cell_angle_gamma 90.00
loop_
_atom_site_label
_atom_site_type_symbol
_atom_site_fract_x
_atom_site_fract_y
_atom_site_fract_z
Mn1 Mn 0.000 0.500 0.000
Co1 Co 0.000 0.000 0.500
P1 P 0.500 0.500 0.000
C1 C 0.500 0.500 0.500
# V   69 Å³ per cell
# Formation energy from the elements   1.12 eV/atom
# Total energy   -0.5065 Ry per atom
# Magnetic moment   8.15 Bohr magnetons per cell